Entry from the Alexandria database: a geometry-optimized Na2MnTlCd structure (PBE-GGA).

For the magnetization, the calculation gives 4.0 μB per formula unit. The calculation puts the total DFT energy (no corrections) at -2.46 eV per atom. As for the crystal system: tetragonal. As for the calculated volume: 168 Å³/f.u.

It has space group P4/mmm (No. 123), with a = 5.698 Å, b = 5.698 Å, c = 5.182 Å, α = 90.00°, β = 90.00° and γ = 90.00°. The distinct sites, in fractional coordinates, are Na at (0.000, 0.500, 0.000), Mn at (0.000, 0.000, 0.000), Tl at (0.000, 0.000, 0.500) and Cd at (0.500, 0.500, 0.500).

=====

Entry from the Alexandria database: a geometry-optimized MnNbCd structure (PBE-GGA).

For the magnetization, the calculation gives 0.9 μB per formula unit. As for the crystal system: triclinic. The calculation puts the excess energy over the best structure of this formula in the dataset at 0.07 eV per formula unit. As for the calculated volume: 52 Å³/f.u.

It has space group P1 (No. 1), with a = 2.880 Å, b = 4.759 Å, c = 7.659 Å, α = 82.66°, β = 84.39° and γ = 88.52°. The distinct sites, in fractional coordinates, are Mn at (0.000, 0.000, 0.000), Mn at (0.153, 0.389, 0.792), Nb at (0.585, 0.885, 0.712), Nb at (0.920, 0.415, 0.505), Cd at (0.409, 0.946, 0.336) and Cd at (0.516, 0.489, 0.106).

=====

Entry from the Alexandria database: a geometry-optimized MnNb2Cd structure (PBE-GGA).

For the magnetization, the calculation gives 0.0 μB per formula unit. The calculation puts the total DFT energy (no corrections) at -7.01 eV per atom. As for the crystal system: tetragonal. As for the calculated volume: 72 Å³/f.u.

It has space group I-42d (No. 122), with a = 7.264 Å, b = 7.264 Å, c = 5.478 Å, α = 90.00°, β = 90.00° and γ = 90.00°. The distinct sites, in fractional coordinates, are Mn at (0.000, 0.000, 0.000), Nb at (0.198, 0.250, 0.125) and Cd at (0.000, 0.000, 0.500).

=====

Entry from the Alexandria database: a geometry-optimized MnNb2Cd4 structure (PBE-GGA).

For the magnetization, the calculation gives 4.0 μB per formula unit. The calculation puts the total DFT energy (no corrections) at -3.82 eV per atom. As for the crystal system: tetragonal. As for the calculated volume: 185 Å³/f.u.

It has space group I4/mmm (No. 139), with a = 5.204 Å, b = 5.204 Å, c = 13.637 Å, α = 90.00°, β = 90.00° and γ = 90.00°. The distinct sites, in fractional coordinates, are Mn at (0.000, 0.000, 0.000), Nb at (0.000, 0.000, 0.412), Cd at (0.000, 0.000, 0.197) and Cd at (0.000, 0.500, 0.000).

=====

Entry from the Alexandria database: a geometry-optimized MnNbCd structure (PBE-GGA).

For the magnetization, the calculation gives 0.0 μB per formula unit. As for the crystal system: trigonal. The calculation puts the excess energy over the best structure of this formula in the dataset at 0.51 eV per formula unit. As for the calculated volume: 49 Å³/f.u.

It has space group P3m1 (No. 156), with a = 4.5191 Å, b = 4.5191 Å, c = 2.7618 Å, α = 90.00°, β = 90.00° and γ = 120.00°. The distinct sites, in fractional coordinates, are Mn at (0.0000, 0.0000, 0.0000), Nb at (0.3333, 0.6667, 0.7588) and Cd at (0.6667, 0.3333, 0.3293).

=====

Entry from the Alexandria database: a geometry-optimized Mn4NbCd structure (PBE-GGA).

For the magnetization, the calculation gives 2.9 μB per formula unit. The calculation puts the total DFT energy (no corrections) at -7.85 eV per atom. As for the crystal system: cubic. As for the calculated volume: 81 Å³/f.u.

It has space group F-43m (No. 216), with a = 6.860 Å, b = 6.860 Å, c = 6.860 Å, α = 90.00°, β = 90.00° and γ = 90.00°. The distinct sites, in fractional coordinates, are Mn at (0.124, 0.124, 0.376), Nb at (0.000, 0.000, 0.000) and Cd at (0.250, 0.250, 0.750).

=====

Entry from the Alexandria database: a geometry-optimized Mn2Nb2Cd structure (PBE-GGA).

For the magnetization, the calculation gives 4.1 μB per formula unit. The calculation puts the total DFT energy (no corrections) at -7.71 eV per atom. As for the crystal system: tetragonal. As for the calculated volume: 82 Å³/f.u.

It has space group P4/mbm (No. 127), with a = 7.148 Å, b = 7.148 Å, c = 3.215 Å, α = 90.00°, β = 90.00° and γ = 90.00°. The distinct sites, in fractional coordinates, are Mn at (0.123, 0.377, 0.000), Nb at (0.172, 0.672, 0.500) and Cd at (0.000, 0.000, 0.000).

=====

Entry from the Alexandria database: a geometry-optimized MnNbCd3 structure (PBE-GGA).

For the magnetization, the calculation gives 2.0 μB per formula unit. As for the crystal system: cubic. The calculation puts the excess energy over the best structure of this formula in the dataset at 0.00 eV per formula unit. As for the calculated volume: 161 Å³/f.u.

It has space group Pm-3m (No. 221), with a = 5.437 Å, b = 5.437 Å, c = 5.437 Å, α = 90.00°, β = 90.00° and γ = 90.00°. The distinct sites, in fractional coordinates, are Mn at (0.000, 0.000, 0.000), Nb at (0.500, 0.500, 0.500) and Cd at (0.000, 0.500, 0.500).

=====

Entry from the Alexandria database: a geometry-optimized MnNbCd structure (PBE-GGA).

For the magnetization, the calculation gives 3.2 μB per formula unit. As for the crystal system: orthorhombic. The calculation puts the excess energy over the best structure of this formula in the dataset at 0.00 eV per formula unit. As for the calculated volume: 53 Å³/f.u.

It has space group Fmm2 (No. 42), with a = 3.657 Å, b = 4.352 Å, c = 13.334 Å, α = 90.00°, β = 90.00° and γ = 90.00°. The distinct sites, in fractional coordinates, are Mn at (0.000, 0.000, 0.000), Nb at (0.000, 0.000, 0.650) and Cd at (0.000, 0.000, 0.333).

=====

Entry from the Alexandria database: a geometry-optimized MnNbCd structure (PBE-GGA).

For the magnetization, the calculation gives 1.3 μB per formula unit. As for the crystal system: monoclinic. The calculation puts the excess energy over the best structure of this formula in the dataset at 0.10 eV per formula unit. As for the calculated volume: 53 Å³/f.u.

It has space group Cm (No. 8), with a = 10.174 Å, b = 2.962 Å, c = 7.218 Å, α = 90.00°, β = 102.75° and γ = 90.00°. The distinct sites, in fractional coordinates, are Mn at (0.000, 0.000, 0.000), Mn at (0.148, 0.500, 0.213), Nb at (0.095, 0.000, 0.449), Nb at (0.356, 0.000, 0.213), Cd at (0.204, 0.500, 0.844) and Cd at (0.394, 0.000, 0.639).

=====

Entry from the Alexandria database: a geometry-optimized MnNbCd3 structure (PBE-GGA).

For the magnetization, the calculation gives 0.0 μB per formula unit. As for the crystal system: cubic. The calculation puts the excess energy over the best structure of this formula in the dataset at 0.11 eV per formula unit. As for the calculated volume: 113 Å³/f.u.

It has space group Pm-3m (No. 221), with a = 4.830 Å, b = 4.830 Å, c = 4.830 Å, α = 90.00°, β = 90.00° and γ = 90.00°. The distinct sites, in fractional coordinates, are Mn at (0.000, 0.000, 0.000), Nb at (0.500, 0.500, 0.500) and Cd at (0.000, 0.000, 0.500).

=====

Entry from the Alexandria database: a geometry-optimized MnNbCd structure (PBE-GGA).

For the magnetization, the calculation gives 0.6 μB per formula unit. As for the crystal system: triclinic. The calculation puts the excess energy over the best structure of this formula in the dataset at 0.03 eV per formula unit. As for the calculated volume: 52 Å³/f.u.

It has space group P1 (No. 1), with a = 2.954 Å, b = 5.191 Å, c = 7.462 Å, α = 70.18°, β = 80.38° and γ = 74.72°. The distinct sites, in fractional coordinates, are Mn at (0.000, 0.000, 0.000), Mn at (0.346, 0.388, 0.887), Nb at (0.076, 0.396, 0.586), Nb at (0.673, 0.861, 0.739), Cd at (0.349, 0.958, 0.357) and Cd at (0.669, 0.496, 0.185).

=====

Entry from the Alexandria database: a geometry-optimized Mn2NbCd structure (PBE-GGA).

For the magnetization, the calculation gives 4.6 μB per formula unit. The calculation puts the total DFT energy (no corrections) at -6.63 eV per atom. As for the crystal system: tetragonal. As for the calculated volume: 71 Å³/f.u.

It has space group I-42d (No. 122), with a = 7.086 Å, b = 7.086 Å, c = 5.624 Å, α = 90.00°, β = 90.00° and γ = 90.00°. The distinct sites, in fractional coordinates, are Mn at (0.231, 0.250, 0.125), Nb at (0.000, 0.000, 0.000) and Cd at (0.000, 0.000, 0.500).

=====

Entry from the Alexandria database: a geometry-optimized MnNbCd structure (PBE-GGA).

For the magnetization, the calculation gives 0.9 μB per formula unit. As for the crystal system: trigonal. The calculation puts the excess energy over the best structure of this formula in the dataset at 1.33 eV per formula unit. As for the calculated volume: 56 Å³/f.u.

It has space group R-3m (No. 166, hexagonal axes), with a = 4.6092 Å, b = 4.6092 Å, c = 18.1562 Å, α = 90.00°, β = 90.00° and γ = 120.00°. The distinct sites, in fractional coordinates, are Mn at (0.0000, 0.0000, 0.2083), Nb at (0.0000, 0.0000, 0.0869) and Cd at (0.0000, 0.0000, 0.3685).

=====

Entry from the Alexandria database: a geometry-optimized MnNb2Cd2 structure (PBE-GGA).

For the magnetization, the calculation gives 0.0 μB per formula unit. As for the crystal system: tetragonal. The calculation puts the excess energy over the best structure of this formula in the dataset at 0.00 eV per formula unit. As for the calculated volume: 97 Å³/f.u.

It has space group P4/mbm (No. 127), with a = 6.249 Å, b = 6.249 Å, c = 4.976 Å, α = 90.00°, β = 90.00° and γ = 90.00°. The distinct sites, in fractional coordinates, are Mn at (0.000, 0.000, 0.000), Nb at (0.154, 0.346, 0.000) and Cd at (0.165, 0.665, 0.500).

=====

Entry from the Alexandria database: a geometry-optimized MnNb2Cd2 structure (PBE-GGA).

For the magnetization, the calculation gives 2.6 μB per formula unit. As for the crystal system: tetragonal. The calculation puts the excess energy over the best structure of this formula in the dataset at 1.02 eV per formula unit. As for the calculated volume: 105 Å³/f.u.

It has space group I4/mmm (No. 139), with a = 3.876 Å, b = 3.876 Å, c = 13.970 Å, α = 90.00°, β = 90.00° and γ = 90.00°. The distinct sites, in fractional coordinates, are Mn at (0.000, 0.000, 0.000), Nb at (0.000, 0.000, 0.417) and Cd at (0.000, 0.500, 0.250).

=====

Entry from the Alexandria database: a geometry-optimized MnNbCd structure (PBE-GGA).

For the magnetization, the calculation gives 0.8 μB per formula unit. As for the crystal system: triclinic. The calculation puts the excess energy over the best structure of this formula in the dataset at 0.09 eV per formula unit. As for the calculated volume: 52 Å³/f.u.

It has space group P1 (No. 1), with a = 2.879 Å, b = 4.812 Å, c = 7.702 Å, α = 104.46°, β = 92.49° and γ = 90.69°. The distinct sites, in fractional coordinates, are Mn at (0.000, 0.000, 0.000), Mn at (0.460, 0.757, 0.771), Nb at (0.083, 0.696, 0.482), Nb at (0.900, 0.248, 0.709), Cd at (0.503, 0.529, 0.084) and Cd at (0.526, 0.135, 0.333).

=====

Entry from the Alexandria database: a geometry-optimized MnNbCd structure (PBE-GGA).

For the magnetization, the calculation gives 0.0 μB per formula unit. As for the crystal system: tetragonal. The calculation puts the excess energy over the best structure of this formula in the dataset at 0.04 eV per formula unit. As for the calculated volume: 51 Å³/f.u.

It has space group I4mm (No. 107), with a = 3.191 Å, b = 3.191 Å, c = 9.961 Å, α = 90.00°, β = 90.00° and γ = 90.00°. The distinct sites, in fractional coordinates, are Mn at (0.000, 0.000, 0.000), Nb at (0.000, 0.000, 0.612) and Cd at (0.000, 0.000, 0.317).

=====

Entry from the Alexandria database: a geometry-optimized MnNb3Cd structure (PBE-GGA).

For the magnetization, the calculation gives 0.0 μB per formula unit. As for the crystal system: cubic. The calculation puts the excess energy over the best structure of this formula in the dataset at 0.00 eV per formula unit. As for the calculated volume: 100 Å³/f.u.

It has space group Pm-3m (No. 221), with a = 4.635 Å, b = 4.635 Å, c = 4.635 Å, α = 90.00°, β = 90.00° and γ = 90.00°. The distinct sites, in fractional coordinates, are Mn at (0.000, 0.000, 0.000), Nb at (0.000, 0.000, 0.500) and Cd at (0.500, 0.500, 0.500).

=====

Entry from the Alexandria database: a geometry-optimized MnNbCdNi2 structure (PBE-GGA).

For the magnetization, the calculation gives 0.0 μB per formula unit. The calculation puts the total DFT energy (no corrections) at -5.16 eV per atom. As for the crystal system: tetragonal. As for the calculated volume: 85 Å³/f.u.

It has space group P4/mmm (No. 123), with a = 4.218 Å, b = 4.218 Å, c = 4.761 Å, α = 90.00°, β = 90.00° and γ = 90.00°. The distinct sites, in fractional coordinates, are Mn at (0.000, 0.000, 0.000), Nb at (0.500, 0.500, 0.500), Cd at (0.000, 0.000, 0.500) and Ni at (0.000, 0.500, 0.000).